[1]
This record from the Alexandria database describes an optimized crystal structure of Pr6Er4Tm. The functional is GGA-PBE.

Computed properties:
calculated formation energy: 3.23 kcal/mol of atoms
polymorph energy (0 for the lowest one): 0.0 meV/atom

Lattice parameters (Å, degrees): 11.0931 11.0931 3.5673 90.00 90.00 120.00
Space group P-6m2 (No. 187)
Asymmetric unit:
Pr1 0.1817 0.3633 0.0000 [3 per cell]
Pr2 0.5276 0.0551 0.5000 [3 per cell]
Er1 0.3123 0.1562 0.0000 [3 per cell]
Er2 0.3333 0.6667 0.5000 [1 per cell]
Tm1 0.0000 0.0000 0.5000 [1 per cell]

=====

[2]
This record from the Alexandria database describes an optimized crystal structure of Ba2CdIn12Pt3. The functional is GGA-PBE.

Computed properties:
calculated formation energy: -3.81 kcal/mol of atoms

Lattice parameters (Å, degrees): 10.0431 10.0431 19.9552 90.00 90.00 120.00
Space group R-3m (No. 166, hexagonal axes)
Asymmetric unit:
Ba1 0.0000 0.0000 0.0976 [6 per cell]
Cd1 0.0000 0.0000 0.5000 [3 per cell]
In1 0.0057 0.5028 0.8653 [18 per cell]
In2 0.0716 0.5358 0.3169 [18 per cell]
Pt1 0.0000 0.5000 0.0000 [9 per cell]

=====

[3]
This record from the Alexandria database describes an optimized crystal structure of SiBAu. The functional is GGA-PBE.

Computed properties:
uncorrected formation energy: 314 meV/atom

Lattice parameters (Å, degrees): 2.995 2.995 9.755 90.00 90.00 90.00
Space group P4/nmm (No. 129, origin choice 2)
Asymmetric unit:
Si1 0.250 0.250 0.150 [2 per cell]
B1 0.250 0.750 0.000 [2 per cell]
Au1 0.250 0.250 0.394 [2 per cell]

=====

[4]
This record from the Alexandria database describes an optimized crystal structure of Sm3GaGe2. The functional is GGA-PBE.

Computed properties:
calculated formation energy: -14.43 kcal/mol of atoms
polymorph energy (0 for the lowest one): 119.9 meV/atom

Lattice parameters (Å, degrees): 7.9977 7.9977 17.7157 90.00 90.00 120.00
Space group R-3c (No. 167, hexagonal axes)
Asymmetric unit:
Sm1 0.0000 0.3262 0.2500 [18 per cell]
Ga1 0.0000 0.0000 0.0000 [6 per cell]
Ge1 0.0000 0.0000 0.1639 [12 per cell]

=====

[5]
This record from the Alexandria database describes an optimized crystal structure of K2Li2ZrSe4. The functional is GGA-PBE.

Computed properties:
uncorrected formation energy: -1320 meV/atom

Lattice parameters (Å, degrees): 15.109 4.078 7.771 90.00 110.01 90.00
Space group C2/m (No. 12)
Asymmetric unit:
K1 0.138 0.000 0.062 [4 per cell]
Li1 0.180 0.500 0.483 [4 per cell]
Zr1 0.000 0.000 0.500 [2 per cell]
Se1 0.014 0.500 0.269 [4 per cell]
Se2 0.191 0.000 0.674 [4 per cell]

=====

[6]
This record from the Alexandria database describes an optimized crystal structure of Be4CuNi2. The functional is GGA-PBE.

Computed properties:
calculated formation energy: 6.01 kcal/mol of atoms

Lattice parameters (Å, degrees): 4.108 4.108 8.495 90.00 90.00 90.00
Space group I4/mmm (No. 139)
Asymmetric unit:
Be1 0.000 0.500 0.000 [4 per cell]
Be2 0.000 0.500 0.250 [4 per cell]
Cu1 0.000 0.000 0.000 [2 per cell]
Ni1 0.000 0.000 0.361 [4 per cell]

=====

[7]
This record from the Alexandria database describes an optimized crystal structure of ScAlRh. The functional is GGA-PBE.

Computed properties:
calculated formation energy: -11.47 kcal/mol of atoms

Lattice parameters (Å, degrees): 3.1543 3.1543 6.1819 90.00 90.00 120.00
Space group P3m1 (No. 156)
Asymmetric unit:
Sc1 0.0000 0.0000 0.0000 [1 per cell]
Al1 0.6667 0.3333 0.3897 [1 per cell]
Rh1 0.3333 0.6667 0.6767 [1 per cell]

=====

[8]
This record from the Alexandria database describes an optimized crystal structure of BeInAg2. The functional is GGA-PBE.

Computed properties:
calculated formation energy: 5.68 kcal/mol of atoms
polymorph energy (0 for the lowest one): 107.7 meV/atom

Lattice parameters (Å, degrees): 3.028 4.207 5.607 90.00 105.06 90.00
Space group Pm (No. 6)
Asymmetric unit:
Be1 0.000 0.000 0.000 [1 per cell]
In1 0.430 0.500 0.261 [1 per cell]
Ag1 0.067 0.000 0.546 [1 per cell]
Ag2 0.677 0.500 0.801 [1 per cell]

=====

[9]
This record from the Alexandria database describes an optimized crystal structure of BeTlHI2. The functional is GGA-PBE.

Computed properties:
uncorrected energy: -8.585 eV for the cell shown

Lattice parameters (Å, degrees): 6.278 6.278 4.782 90.00 90.00 90.00
Space group P4/mmm (No. 123)
Asymmetric unit:
Be1 0.000 0.000 0.000 [1 per cell]
Tl1 0.000 0.000 0.500 [1 per cell]
H1 0.500 0.500 0.000 [1 per cell]
I1 0.000 0.500 0.500 [2 per cell]

=====

[10]
This record from the Alexandria database describes an optimized crystal structure of Be3NiPd. The functional is GGA-PBE.

Computed properties:
calculated formation energy: 5.39 kcal/mol of atoms
polymorph energy (0 for the lowest one): 0.0 meV/atom

Lattice parameters (Å, degrees): 3.893 3.893 3.893 90.00 90.00 90.00
Space group Pm-3m (No. 221)
Asymmetric unit:
Be1 0.000 0.000 0.500 [3 per cell]
Ni1 0.000 0.000 0.000 [1 per cell]
Pd1 0.500 0.500 0.500 [1 per cell]

=====

[11]
This record from the Alexandria database describes an optimized crystal structure of MnNbGeHI. The functional is GGA-PBE.

Computed properties:
polymorph energy (0 for the lowest one): 159.8 meV/atom

Lattice parameters (Å, degrees): 7.628 3.289 8.030 90.00 107.75 90.00
Space group Cm (No. 8)
Asymmetric unit:
Mn1 0.000 0.000 0.000 [2 per cell]
Nb1 0.301 0.500 0.168 [2 per cell]
Ge1 0.254 0.000 0.864 [2 per cell]
H1 0.069 0.500 0.971 [2 per cell]
I1 0.454 0.000 0.459 [2 per cell]

=====

[12]
This record from the Alexandria database describes an optimized crystal structure of KSnBi. The functional is GGA-PBE.

Computed properties:
calculated formation energy: -1.80 kcal/mol of atoms

Lattice parameters (Å, degrees): 7.770 7.770 7.770 90.00 90.00 90.00
Space group F-43m (No. 216)
Asymmetric unit:
K1 0.000 0.000 0.000 [4 per cell]
Sn1 0.250 0.250 0.250 [4 per cell]
Bi1 0.000 0.000 0.500 [4 per cell]

=====

[13]
This record from the Alexandria database describes an optimized crystal structure of Y2BeW. The functional is GGA-PBE.

Computed properties:
calculated formation energy: 13.20 kcal/mol of atoms

Lattice parameters (Å, degrees): 4.290 4.290 8.931 90.00 90.00 90.00
Space group I-4m2 (No. 119)
Asymmetric unit:
Y1 0.000 0.000 0.000 [2 per cell]
Y2 0.000 0.500 0.250 [2 per cell]
Be1 0.000 0.500 0.750 [2 per cell]
W1 0.000 0.000 0.500 [2 per cell]